Density functional theory data (GGA-PBE) for a relaxed structure of Sc2AlTc.

```
Sc2AlTc
1.0
2.3332 -4.0413 0.0000
2.3332 4.0413 0.0000
0.0000 0.0000 8.0873
Al Sc Tc
2 4 2
Direct
0.0000 0.0000 0.2500 Al
0.0000 0.0000 0.7500 Al
0.3333 0.6667 0.0811 Sc
0.3333 0.6667 0.4189 Sc
0.6667 0.3333 0.5811 Sc
0.6667 0.3333 0.9189 Sc
0.6667 0.3333 0.2500 Tc
0.3333 0.6667 0.7500 Tc
```

- Spin magnetization: 0.01 μB/cell
- Symmetry: P6_3/mmc, No. 194
- Polymorph energy (0 for the lowest one): 0.52 eV/f.u.

=====

Density functional theory data (GGA-PBE) for a relaxed structure of Sc2AlTc.

```
Sc2AlTc
1.0
-2.8488 -2.1757 -2.8645
2.5328 -2.4005 2.9795
-6.3873 0.5893 5.9045
Al Sc Tc
2 4 2
Direct
0.3333 0.6667 0.2500 Al
0.6667 0.3333 0.7500 Al
0.6667 0.3333 0.0799 Sc
0.6667 0.3333 0.4201 Sc
0.3333 0.6667 0.5799 Sc
0.3333 0.6667 0.9201 Sc
0.0000 0.0000 0.0000 Tc
0.0000 0.0000 0.5000 Tc
```

- Spin magnetization: 0.63 μB/cell
- Symmetry: P6_3/mmc, No. 194
- Polymorph energy (0 for the lowest one): 2.35 eV/f.u.

=====

Density functional theory data (GGA-PBE) for a relaxed structure of Sc2AlTc.

```
Sc2AlTc
1.0
4.7031 0.0000 0.0000
0.0000 8.0501 0.0000
0.0000 0.0000 8.0304
Al Sc Tc
4 8 4
Direct
0.0009 0.7500 0.0045 Al
0.5009 0.2500 0.4955 Al
0.4991 0.7500 0.5045 Al
0.9991 0.2500 0.9955 Al
0.5012 0.5806 0.1684 Sc
0.5012 0.9194 0.1684 Sc
0.0012 0.0806 0.3316 Sc
0.0012 0.4194 0.3316 Sc
0.9988 0.5806 0.6684 Sc
0.9988 0.9194 0.6684 Sc
0.4988 0.0806 0.8316 Sc
0.4988 0.4194 0.8316 Sc
0.4996 0.2500 0.1608 Tc
0.9996 0.7500 0.3392 Tc
0.0004 0.2500 0.6608 Tc
0.5004 0.7500 0.8392 Tc
```

- Spin magnetization: 0.01 μB/cell
- Symmetry: Pnma, No. 62
- Polymorph energy (0 for the lowest one): 0.52 eV/f.u.

=====

Density functional theory data (GGA-PBE) for a relaxed structure of Sc2AlTc.

```
Sc2AlTc
1.0
4.6692 0.0000 0.0000
0.0000 6.6077 0.0000
0.0000 0.0000 14.0147
Al Sc Tc
6 12 6
Direct
0.0000 0.5000 0.0000 Al
0.4997 0.0000 0.1666 Al
0.9997 0.5000 0.3334 Al
0.5000 0.0000 0.5000 Al
0.0003 0.5000 0.6666 Al
0.5003 0.0000 0.8334 Al
0.5000 0.2499 0.0000 Sc
0.5000 0.7501 0.0000 Sc
0.9997 0.2501 0.1667 Sc
0.9997 0.7499 0.1667 Sc
0.4997 0.2499 0.3333 Sc
0.4997 0.7501 0.3333 Sc
0.0000 0.2501 0.5000 Sc
0.0000 0.7499 0.5000 Sc
0.5003 0.2499 0.6667 Sc
0.5003 0.7501 0.6667 Sc
0.0003 0.2501 0.8333 Sc
0.0003 0.7499 0.8333 Sc
0.0000 0.0000 0.0000 Tc
0.4998 0.5000 0.1665 Tc
0.9998 0.0000 0.3335 Tc
0.5000 0.5000 0.5000 Tc
0.0002 0.0000 0.6665 Tc
0.5002 0.5000 0.8335 Tc
```

- Spin magnetization: 0.08 μB/cell
- Symmetry: Fm-3m, No. 225
- Polymorph energy (0 for the lowest one): 0.03 eV/f.u.

=====

Density functional theory data (GGA-PBE) for a relaxed structure of Sc2AlTc.

```
Sc2AlTc
1.0
2.4389 -4.2243 0.0000
2.4389 4.2243 0.0000
0.0000 0.0000 7.4966
Al Sc Tc
2 4 2
Direct
0.0000 0.0000 0.0000 Al
0.0000 0.0000 0.5000 Al
0.6667 0.3333 0.0802 Sc
0.6667 0.3333 0.4198 Sc
0.3333 0.6667 0.5802 Sc
0.3333 0.6667 0.9198 Sc
0.3333 0.6667 0.2500 Tc
0.6667 0.3333 0.7500 Tc
```

- Spin magnetization: 0.01 μB/cell
- Symmetry: P6_3/mmc, No. 194
- Polymorph energy (0 for the lowest one): 2.22 eV/f.u.

=====

Density functional theory data (GGA-PBE) for a relaxed structure of Sc2Al2Tc.

```
Sc2Al2Tc
1.0
0.0396 -3.6986 7.4648
-4.3350 -4.7219 5.3213
3.1267 2.1619 -7.4131
Al Sc Tc
2 2 1
Direct
0.7500 0.2500 0.5000 Al
0.2500 0.7500 0.5000 Al
0.4092 0.4092 0.0000 Sc
0.5908 0.5908 0.0000 Sc
0.0000 0.0000 0.0000 Tc
```

- Spin magnetization: 0.01 μB/cell
- Symmetry: I4/mmm, No. 139
- Total DFT energy (no corrections): -30.02 eV for the cell shown

=====

Density functional theory data (GGA-PBE) for a relaxed structure of ScAl2Tc2.

```
ScAl2Tc2
1.0
-0.8406 -6.0353 0.8061
0.8599 -2.9651 5.3151
-2.7372 4.9744 -2.3548
Al Sc Tc
2 1 2
Direct
0.7500 0.2500 0.5000 Al
0.2500 0.7500 0.5000 Al
0.0000 0.0000 0.0000 Sc
0.3946 0.3946 0.0000 Tc
0.6054 0.6054 0.0000 Tc
```

- Spin magnetization: 0.03 μB/cell
- Symmetry: I4/mmm, No. 139
- Total DFT energy (no corrections): -34.79 eV for the cell shown

=====

Density functional theory data (GGA-PBE) for a relaxed structure of ScAlTc.

```
ScAlTc
1.0
-0.8208 0.9299 4.1780
-1.7793 3.8317 1.0707
-4.1144 0.1692 1.4271
Al Sc Tc
1 1 1
Direct
0.2500 0.2500 0.2500 Al
0.7500 0.7500 0.7500 Sc
0.0000 0.0000 0.0000 Tc
```

- Spin magnetization: 0.04 μB/cell
- Symmetry: F-43m, No. 216
- Polymorph energy (0 for the lowest one): 1.70 eV/f.u.

=====

What is the spin magnetization in the seventh record? 0.03 μB/cell

=====

Look up the spin magnetization of the fourth one. 0.08 μB/cell

=====

spin magnetization of number 6 (Sc2Al2Tc)? 0.01 μB/cell

=====

Which value of spin magnetization does entry 3 give? 0.01 μB/cell